The following is a PBE+U calculation of a geometry-optimized Rb3Dy3MoO8 structure, from the Alexandria database.

```
15
Lattice="-3.689 3.135 -4.876 3.196 -5.889 -1.364 -6.267 -0.463 4.444" Properties=species:S:1:pos:R:3 pbc="T T T"
O -3.161 -1.117 -3.168
Rb 0.000 0.000 0.000
O -1.314 -2.531 -0.634
O -1.891 -5.265 0.618
O -2.908 0.381 0.177
Dy -4.978 1.336 -0.216
O -3.852 -3.599 -1.972
Rb -0.247 -1.377 -3.120
O -5.447 -0.686 -1.162
Mo -3.134 -0.232 2.222
Dy -3.380 -1.609 -0.898
Dy -1.535 -3.176 1.540
Rb 1.598 -2.945 -0.682
O -4.869 2.047 -2.414
O -3.599 -2.100 1.373
```

Summary:
- magnetization (μB per cell) = 2.00
- calculated total energy (eV per formula unit) = -101.45
- N(E_F) (states/eV/atom) = 0.000